1.
Cs2Tl9Pb3 | PBE-GGA | optimized geometry

Cell: 16.864 9.836 12.070 Å, 90.00 90.00 90.00°
Space group Cmcm (No. 63)
Inequivalent atoms, fractional coordinates:
Cs: 0.163 0.164 0.250 x8
Tl: 0.000 0.143 0.750 x4
Tl: 0.000 0.339 0.063 x8
Tl: 0.097 0.443 0.750 x8
Tl: 0.163 0.175 0.583 x16
Pb: 0.000 0.000 0.000 x4
Pb: 0.174 0.500 0.000 x8

magnetic moment: 0.0 Bohr magnetons per cell
DOS at the Fermi energy: 7.7 states/eV/f.u.
DFT formation energy: -0.067 eV/atom



2.
Ce2CrNiS5 | PBE-GGA | optimized geometry

Cell: 3.781 16.186 11.054 Å, 90.00 90.00 90.00°
Space group Cmc2_1 (No. 36)
Inequivalent atoms, fractional coordinates:
Ce: 0.000 0.113 0.000 x4
Ce: 0.000 0.128 0.614 x4
Cr: 0.000 0.194 0.319 x4
Ni: 0.000 0.428 0.748 x4
S: 0.000 0.050 0.353 x4
S: 0.000 0.289 0.961 x4
S: 0.000 0.304 0.665 x4
S: 0.000 0.348 0.309 x4
S: 0.000 0.498 0.082 x4

magnetic moment: 15.8 Bohr magnetons per cell
raw formation energy: -129.9 kJ/mol of atoms
DOS at the Fermi energy: 10.4 states/eV/f.u.



3.
La3PrInIr | PBE-GGA | optimized geometry

Cell: 16.676 7.781 6.117 Å, 90.00 111.36 90.00°
Space group C2/m (No. 12)
Inequivalent atoms, fractional coordinates:
La: 0.122 0.249 0.120 x8
La: 0.180 0.000 0.677 x4
Pr: 0.000 0.305 0.500 x4
In: 0.195 0.500 0.695 x4
Ir: 0.000 0.000 0.237 x4

magnetic moment: 0.0 Bohr magnetons per cell
DOS at the Fermi energy: 6.3 states/eV/f.u.
DFT formation energy: -0.435 eV/atom